No. 1
First-principles (GGA-PBE) data for a relaxed Y3Ho2ErSb2Os crystal, as listed in the Open Quantum Materials Database.

```
Y3Ho2ErSb2Os
1.0
-4.129 0.202 0.781
-0.788 -7.843 -2.133
1.566 1.982 7.766
Y Sb Er Os Ho
3 2 1 1 2
direct
0.500 0.604 0.604
0.500 0.395 0.000
0.500 0.000 0.395
0.000 0.333 0.667
0.000 0.667 0.333
0.000 0.236 0.236
0.500 0.000 0.000
0.000 0.000 0.764
0.000 0.764 0.000
```

Calculated values
Symmetry = Amm2, No. 38
VASP energy = -6.537 eV per atom

***

No. 2
First-principles (GGA-PBE) data for a relaxed Ho4BBr2Cl3 crystal, as listed in the Open Quantum Materials Database.

```
Ho4BBr2Cl3
1.0
-2.059 8.706 -1.373
-5.371 7.284 -0.094
2.797 0.059 7.313
Br Cl Ho B
2 3 4 1
direct
0.172 0.172 0.824
0.828 0.828 0.176
0.160 0.160 0.331
0.500 0.500 0.500
0.840 0.840 0.669
0.000 0.000 0.216
0.000 0.000 0.784
0.357 0.357 0.920
0.643 0.643 0.080
0.500 0.500 0.000
```

Calculated values
Symmetry = C2/m, No. 12
VASP energy = -4.939 eV per atom

***

No. 3
First-principles (GGA-PBE) data for a relaxed CsTbPr crystal, as listed in the Open Quantum Materials Database.

```
CsTbPr
1.0
-5.634 -0.718 2.239
-4.577 3.463 -2.083
-4.370 -2.480 -3.468
Pr Tb Cs
1 1 1
direct
0.000 0.000 0.000
0.750 0.750 0.750
0.250 0.250 0.250
```

Calculated values
Symmetry = F-43m, No. 216
VASP energy = -2.225 eV per atom

***

No. 4
First-principles (GGA-PBE) data for a relaxed HoErPt4Pb2 crystal, as listed in the Open Quantum Materials Database.

```
HoErPt4Pb2
1.0
4.641 0.000 0.000
-2.320 4.019 0.000
0.000 0.000 9.021
Pt Pb Er Ho
4 2 1 1
direct
0.333 0.667 0.846
0.000 0.000 0.345
0.333 0.667 0.154
0.000 0.000 0.655
0.667 0.333 0.250
0.667 0.333 0.750
0.000 0.000 0.000
0.333 0.667 0.500
```

Calculated values
Symmetry = P-6m2, No. 187
VASP energy = -5.869 eV per atom

***

No. 5
First-principles (GGA-PBE) data for a relaxed Nd2Zr2O5 crystal, as listed in the Open Quantum Materials Database.

```
Nd2Zr2O5
1.0
7.448 0.000 0.000
0.000 4.168 0.000
0.000 0.000 4.168
Zr O Nd
2 5 2
direct
0.218 0.500 0.500
0.782 0.500 0.500
0.253 0.500 0.000
0.253 0.000 0.500
0.500 0.500 0.500
0.747 0.500 0.000
0.747 0.000 0.500
0.500 0.000 0.000
0.000 0.000 0.000
```

Calculated values
Symmetry = P4/mmm, No. 123
VASP energy = -8.419 eV per atom

***

No. 6
First-principles (GGA-PBE) data for a relaxed BaTmCuSe3 crystal, as listed in the Open Quantum Materials Database.

```
BaTmCuSe3
1.0
-6.588 5.468 -1.178
-2.083 -2.945 -2.023
-1.605 -4.459 8.143
Cu Se Tm Ba
2 6 2 2
direct
0.919 0.750 0.909
0.081 0.250 0.091
0.778 0.250 0.969
0.551 0.250 0.344
0.449 0.750 0.656
0.106 0.250 0.362
0.894 0.750 0.638
0.222 0.750 0.031
0.322 0.750 0.340
0.678 0.250 0.660
0.203 0.250 0.754
0.797 0.750 0.246
```

Calculated values
Symmetry = P2_1/m, No. 11
VASP energy = -4.983 eV per atom

***

No. 7
First-principles (GGA-PBE) data for a relaxed LaCoCuAs crystal, as listed in the Open Quantum Materials Database.

```
LaCoCuAs
1.0
-0.380 2.592 3.816
-2.822 3.669 0.034
-3.901 -0.104 2.490
La Co As Cu
1 1 1 1
direct
0.500 0.500 0.500
0.250 0.250 0.250
0.000 0.000 0.000
0.750 0.750 0.750
```

Calculated values
Symmetry = F-43m, No. 216
VASP energy = -5.226 eV per atom

***

No. 8
First-principles (GGA-PBE) data for a relaxed NdZrHg crystal, as listed in the Open Quantum Materials Database.

```
NdZrHg
1.0
-0.978 -3.603 3.395
-3.190 -3.741 -1.139
1.750 -4.679 -0.712
Hg Zr Nd
1 1 1
direct
0.250 0.250 0.250
0.750 0.750 0.750
0.000 0.000 0.000
```

Calculated values
Symmetry = F-43m, No. 216
DFT formation energy = 2.27 eV per formula unit